The following is a DFT calculation (PBE) of a relaxed structure of Nb2InFeTe.

volume	24.6	Å³/atom
space group	P4/mmm
total magnetic moment	2.5	Bohr magnetons per cell
uncorrected formation energy	8.46	eV/f.u.
distance to the lowest polymorph of the same formula	0.604	eV/atom

a b c (Å): 5.1624 5.1624 4.6106
angles (deg): 90.00 90.00 90.00
Atoms (fractional coordinates):
1 Nb 0.0000 0.5000 0.0000
2 Nb 0.5000 0.0000 0.0000
3 In 0.0000 0.0000 0.0000
4 Fe 0.0000 0.0000 0.5000
5 Te 0.5000 0.5000 0.5000